# CuSn3Sb, optimized geometry, DFT GGA-PBE
data_CuSn3Sb
_cell_length_a 10.927
_cell_length_b 8.720
_cell_length_c 6.819
_cell_angle_alpha 90.00
_cell_angle_beta 127.96
_cell_angle_gamma 90.00
_space_group_name_H-M_alt 'C 1 2/m 1'
_space_group_IT_number 12
loop_
_space_group_symop_operation_xyz
'x,y,z'
'-x,-y,-z'
'-x,y,-z'
'x,-y,z'
'x+1/2,y+1/2,z'
'-x+1/2,-y+1/2,-z'
'-x+1/2,y+1/2,-z'
'x+1/2,-y+1/2,z'
loop_
_atom_site_label
_atom_site_fract_x
_atom_site_fract_y
_atom_site_fract_z
Cu1 0.239 0.000 0.133
Sn1 0.036 0.500 0.306
Sn2 0.241 0.302 0.223
Sb1 0.052 0.000 0.292
# **Energy above the most stable polymorph in this dataset**: 0 meV/atom
# **Formation energy (no corrections)**: 0.12 eV per atom